(1)
ScPaP2Rh5 after structural relaxation. Source: Alexandria via LeMat-Bulk, functional PBE.

Computed properties:
Its energy relative to the elements is -0.738 eV/atom.

```
data_ScPaP2Rh5
_chemical_formula_sum 'Sc1 Pa1 P2 Rh5'
_cell_length_a 3.9513
_cell_length_b 3.9513
_cell_length_c 10.8348
_cell_angle_alpha 90.00
_cell_angle_beta 90.00
_cell_angle_gamma 90.00
_symmetry_space_group_name_H-M 'P 1'
_symmetry_Int_Tables_number 1
loop_
_symmetry_equiv_pos_as_xyz
'x,y,z'
loop_
_atom_site_label
_atom_site_fract_x
_atom_site_fract_y
_atom_site_fract_z
Sc1 0.0000 0.0000 0.0000
Pa1 0.0000 0.0000 0.5000
P1 0.5000 0.5000 0.2082
P2 0.5000 0.5000 0.7918
Rh1 0.0000 0.5000 0.3173
Rh2 0.0000 0.5000 0.6827
Rh3 0.5000 0.0000 0.3173
Rh4 0.5000 0.0000 0.6827
Rh5 0.5000 0.5000 0.0000
```

---

(2)
SmPaP2Rh5 after structural relaxation. Source: Alexandria via LeMat-Bulk, functional PBE.

Computed properties:
Its energy relative to the elements is -0.839 eV/atom.

```
data_SmPaP2Rh5
_chemical_formula_sum 'Sm1 Pa1 P2 Rh5'
_cell_length_a 4.0424
_cell_length_b 4.0424
_cell_length_c 10.6434
_cell_angle_alpha 90.00
_cell_angle_beta 90.00
_cell_angle_gamma 90.00
_symmetry_space_group_name_H-M 'P 1'
_symmetry_Int_Tables_number 1
loop_
_symmetry_equiv_pos_as_xyz
'x,y,z'
loop_
_atom_site_label
_atom_site_fract_x
_atom_site_fract_y
_atom_site_fract_z
Sm1 0.0000 0.0000 0.0000
Pa1 0.0000 0.0000 0.5000
P1 0.5000 0.5000 0.2126
P2 0.5000 0.5000 0.7874
Rh1 0.0000 0.5000 0.3162
Rh2 0.0000 0.5000 0.6838
Rh3 0.5000 0.0000 0.3162
Rh4 0.5000 0.0000 0.6838
Rh5 0.5000 0.5000 0.0000
```

---

(3)
PaSnP2Rh5 after structural relaxation. Source: Alexandria via LeMat-Bulk, functional PBE.

Computed properties:
Its energy relative to the elements is -0.625 eV/atom.

```
data_PaSnP2Rh5
_chemical_formula_sum 'Pa1 Sn1 P2 Rh5'
_cell_length_a 3.9496
_cell_length_b 3.9496
_cell_length_c 10.9852
_cell_angle_alpha 90.00
_cell_angle_beta 90.00
_cell_angle_gamma 90.00
_symmetry_space_group_name_H-M 'P 1'
_symmetry_Int_Tables_number 1
loop_
_symmetry_equiv_pos_as_xyz
'x,y,z'
loop_
_atom_site_label
_atom_site_fract_x
_atom_site_fract_y
_atom_site_fract_z
Pa1 0.0000 0.0000 0.0000
Sn1 0.0000 0.0000 0.5000
P1 0.5000 0.5000 0.2897
P2 0.5000 0.5000 0.7103
Rh1 0.0000 0.5000 0.1800
Rh2 0.0000 0.5000 0.8200
Rh3 0.5000 0.0000 0.1800
Rh4 0.5000 0.0000 0.8200
Rh5 0.5000 0.5000 0.5000
```

---

(4)
SrPaP2Rh5 after structural relaxation. Source: Alexandria via LeMat-Bulk, functional PBE.

Computed properties:
Its energy relative to the elements is -0.780 eV/atom.

```
data_SrPaP2Rh5
_chemical_formula_sum 'Sr1 Pa1 P2 Rh5'
_cell_length_a 4.0924
_cell_length_b 4.0924
_cell_length_c 10.5631
_cell_angle_alpha 90.00
_cell_angle_beta 90.00
_cell_angle_gamma 90.00
_symmetry_space_group_name_H-M 'P 1'
_symmetry_Int_Tables_number 1
loop_
_symmetry_equiv_pos_as_xyz
'x,y,z'
loop_
_atom_site_label
_atom_site_fract_x
_atom_site_fract_y
_atom_site_fract_z
Sr1 0.0000 0.0000 0.0000
Pa1 0.0000 0.0000 0.5000
P1 0.5000 0.5000 0.2139
P2 0.5000 0.5000 0.7861
Rh1 0.0000 0.5000 0.3166
Rh2 0.0000 0.5000 0.6834
Rh3 0.5000 0.0000 0.3166
Rh4 0.5000 0.0000 0.6834
Rh5 0.5000 0.5000 0.0000
```

---

(5)
Tb2PaP3Rh12 after structural relaxation. Source: Alexandria via LeMat-Bulk, functional PBE.

Computed properties:
Its energy relative to the elements is -0.459 eV/atom.

```
data_Tb2PaP3Rh12
_chemical_formula_sum 'Tb2 Pa1 P3 Rh12'
_cell_length_a 6.7264
_cell_length_b 6.7264
_cell_length_c 6.7264
_cell_angle_alpha 82.76
_cell_angle_beta 82.76
_cell_angle_gamma 82.76
_symmetry_space_group_name_H-M 'P 1'
_symmetry_Int_Tables_number 1
loop_
_symmetry_equiv_pos_as_xyz
'x,y,z'
loop_
_atom_site_label
_atom_site_fract_x
_atom_site_fract_y
_atom_site_fract_z
Tb1 0.1236 0.1236 0.1236
Tb2 0.8764 0.8764 0.8764
Pa1 0.5000 0.5000 0.5000
P1 0.0000 0.5000 0.5000
P2 0.5000 0.0000 0.5000
P3 0.5000 0.5000 0.0000
Rh1 0.1351 0.1351 0.5878
Rh2 0.1351 0.5878 0.1351
Rh3 0.1654 0.6780 0.6780
Rh4 0.3220 0.3220 0.8346
Rh5 0.3220 0.8346 0.3220
Rh6 0.4122 0.8649 0.8649
Rh7 0.5878 0.1351 0.1351
Rh8 0.6780 0.1654 0.6780
Rh9 0.6780 0.6780 0.1654
Rh10 0.8346 0.3220 0.3220
Rh11 0.8649 0.4122 0.8649
Rh12 0.8649 0.8649 0.4122
```

---

(6)
Pa2TiP3Rh4 after structural relaxation. Source: Alexandria via LeMat-Bulk, functional PBE.

Computed properties:
Its energy relative to the elements is -0.980 eV/atom.

```
data_Pa2TiP3Rh4
_chemical_formula_sum 'Pa2 Ti1 P3 Rh4'
_cell_length_a 3.9903
_cell_length_b 3.9903
_cell_length_c 10.4249
_cell_angle_alpha 90.00
_cell_angle_beta 90.00
_cell_angle_gamma 90.00
_symmetry_space_group_name_H-M 'P 1'
_symmetry_Int_Tables_number 1
loop_
_symmetry_equiv_pos_as_xyz
'x,y,z'
loop_
_atom_site_label
_atom_site_fract_x
_atom_site_fract_y
_atom_site_fract_z
Pa1 0.0000 0.5000 0.2385
Pa2 0.5000 0.0000 0.7615
Ti1 0.0000 0.0000 0.5000
P1 0.0000 0.5000 0.8657
P2 0.5000 0.0000 0.1343
P3 0.5000 0.5000 0.5000
Rh1 0.0000 0.0000 0.0000
Rh2 0.0000 0.5000 0.6420
Rh3 0.5000 0.0000 0.3580
Rh4 0.5000 0.5000 0.0000
```

---

(7)
TmPaP2Rh5 after structural relaxation. Source: Alexandria via LeMat-Bulk, functional PBE.

Computed properties:
Its energy relative to the elements is -0.814 eV/atom.

```
data_TmPaP2Rh5
_chemical_formula_sum 'Tm1 Pa1 P2 Rh5'
_cell_length_a 3.9947
_cell_length_b 3.9947
_cell_length_c 10.7585
_cell_angle_alpha 90.00
_cell_angle_beta 90.00
_cell_angle_gamma 90.00
_symmetry_space_group_name_H-M 'P 1'
_symmetry_Int_Tables_number 1
loop_
_symmetry_equiv_pos_as_xyz
'x,y,z'
loop_
_atom_site_label
_atom_site_fract_x
_atom_site_fract_y
_atom_site_fract_z
Tm1 0.0000 0.0000 0.0000
Pa1 0.0000 0.0000 0.5000
P1 0.5000 0.5000 0.2101
P2 0.5000 0.5000 0.7899
Rh1 0.0000 0.5000 0.3169
Rh2 0.0000 0.5000 0.6831
Rh3 0.5000 0.0000 0.3169
Rh4 0.5000 0.0000 0.6831
Rh5 0.5000 0.5000 0.0000
```

---

(8)
PaZnP2Rh5 after structural relaxation. Source: Alexandria via LeMat-Bulk, functional PBE.

Computed properties:
Its energy relative to the elements is -0.731 eV/atom.

```
data_PaZnP2Rh5
_chemical_formula_sum 'Pa1 Zn1 P2 Rh5'
_cell_length_a 4.0356
_cell_length_b 4.0356
_cell_length_c 8.3783
_cell_angle_alpha 90.00
_cell_angle_beta 90.00
_cell_angle_gamma 90.00
_symmetry_space_group_name_H-M 'P 1'
_symmetry_Int_Tables_number 1
loop_
_symmetry_equiv_pos_as_xyz
'x,y,z'
loop_
_atom_site_label
_atom_site_fract_x
_atom_site_fract_y
_atom_site_fract_z
Pa1 0.0000 0.0000 0.0000
Zn1 0.0000 0.0000 0.5000
P1 0.5000 0.5000 0.1347
P2 0.5000 0.5000 0.8653
Rh1 0.0000 0.5000 0.2725
Rh2 0.0000 0.5000 0.7275
Rh3 0.5000 0.0000 0.2725
Rh4 0.5000 0.0000 0.7275
Rh5 0.5000 0.5000 0.5000
```

---

(9)
PaP2Ru after structural relaxation. Source: Alexandria via LeMat-Bulk, functional PBE.

Computed properties:
As for the energy above the lowest structure with this stoichiometry: 0.17 eV/f.u. Its energy relative to the elements is -0.915 eV/atom.

```
data_PaP2Ru
_chemical_formula_sum 'Pa1 P2 Ru1'
_cell_length_a 5.7227
_cell_length_b 5.7227
_cell_length_c 5.7227
_cell_angle_alpha 39.71
_cell_angle_beta 39.71
_cell_angle_gamma 39.71
_symmetry_space_group_name_H-M 'P 1'
_symmetry_Int_Tables_number 1
loop_
_symmetry_equiv_pos_as_xyz
'x,y,z'
loop_
_atom_site_label
_atom_site_fract_x
_atom_site_fract_y
_atom_site_fract_z
Pa1 0.0000 0.0000 0.0000
P1 0.2304 0.2304 0.2304
P2 0.7696 0.7696 0.7696
Ru1 0.5000 0.5000 0.5000
```

---

(10)
PaPRu3 after structural relaxation. Source: Alexandria via LeMat-Bulk, functional PBE.

Computed properties:
As for the energy above the lowest structure with this stoichiometry: 0.00 eV/f.u. Its energy relative to the elements is -0.568 eV/atom.

```
data_PaPRu3
_chemical_formula_sum 'Pa1 P1 Ru3'
_cell_length_a 5.9892
_cell_length_b 5.9892
_cell_length_c 5.9892
_cell_angle_alpha 141.50
_cell_angle_beta 141.50
_cell_angle_gamma 55.58
_symmetry_space_group_name_H-M 'P 1'
_symmetry_Int_Tables_number 1
loop_
_symmetry_equiv_pos_as_xyz
'x,y,z'
loop_
_atom_site_label
_atom_site_fract_x
_atom_site_fract_y
_atom_site_fract_z
Pa1 0.0000 0.0000 0.0000
P1 0.3791 0.3791 0.0000
Ru1 0.2622 0.7622 0.5000
Ru2 0.5943 0.5943 0.0000
Ru3 0.7622 0.2622 0.5000
```

---

(11)
Pa3P2Ru7 after structural relaxation. Source: Alexandria via LeMat-Bulk, functional PBE.

Computed properties:
Its energy relative to the elements is -0.667 eV/atom.

```
data_Pa3P2Ru7
_chemical_formula_sum 'Pa3 P2 Ru7'
_cell_length_a 12.7093
_cell_length_b 12.7093
_cell_length_c 12.7093
_cell_angle_alpha 161.63
_cell_angle_beta 161.63
_cell_angle_gamma 26.10
_symmetry_space_group_name_H-M 'P 1'
_symmetry_Int_Tables_number 1
loop_
_symmetry_equiv_pos_as_xyz
'x,y,z'
loop_
_atom_site_label
_atom_site_fract_x
_atom_site_fract_y
_atom_site_fract_z
Pa1 0.0000 0.0000 0.0000
Pa2 0.1703 0.1703 0.0000
Pa3 0.8297 0.8297 0.0000
P1 0.3654 0.3654 0.0000
P2 0.6346 0.6346 0.0000
Ru1 0.0848 0.5848 0.5000
Ru2 0.2646 0.2646 0.0000
Ru3 0.4152 0.9152 0.5000
Ru4 0.5000 0.5000 0.0000
Ru5 0.5848 0.0848 0.5000
Ru6 0.7354 0.7354 0.0000
Ru7 0.9152 0.4152 0.5000
```

---

(12)
Pa2P3Ru5 after structural relaxation. Source: Alexandria via LeMat-Bulk, functional PBE.

Computed properties:
Its energy relative to the elements is -0.743 eV/atom.

```
data_Pa2P3Ru5
_chemical_formula_sum 'Pa4 P6 Ru10'
_cell_length_a 12.0385
_cell_length_b 12.0385
_cell_length_c 6.5982
_cell_angle_alpha 90.00
_cell_angle_beta 90.00
_cell_angle_gamma 160.66
_symmetry_space_group_name_H-M 'P 1'
_symmetry_Int_Tables_number 1
loop_
_symmetry_equiv_pos_as_xyz
'x,y,z'
loop_
_atom_site_label
_atom_site_fract_x
_atom_site_fract_y
_atom_site_fract_z
Pa1 0.0194 0.9806 0.5000
Pa2 0.3260 0.6740 0.5160
Pa3 0.6740 0.3260 0.0160
Pa4 0.9806 0.0194 0.0000
P1 0.1108 0.8892 0.2666
P2 0.2682 0.7318 0.0244
P3 0.4497 0.5503 0.2847
P4 0.5503 0.4497 0.7847
P5 0.7318 0.2682 0.5244
P6 0.8892 0.1108 0.7666
Ru1 0.0998 0.9002 0.8440
Ru2 0.2076 0.7924 0.7330
Ru3 0.2086 0.7914 0.3201
Ru4 0.3678 0.6322 0.0336
Ru5 0.4426 0.5574 0.6526
Ru6 0.5574 0.4426 0.1526
Ru7 0.6322 0.3678 0.5336
Ru8 0.7914 0.2086 0.8201
Ru9 0.7924 0.2076 0.2330
Ru10 0.9002 0.0998 0.3440
```